Ti7Co2Pd2: optimized geometry, PBE-GGA.

Cell and atoms, written as CIF:
```
data_Ti7Co2Pd2
_chemical_formula_sum 'Ti14 Co4 Pd4'
_symmetry_space_group_name_H-M 'C m m m'
_symmetry_Int_Tables_number 65
_symmetry_space_group_name_Hall '-C 2 2'
_cell_length_a 7.115
_cell_length_b 9.053
_cell_length_c 5.845
_cell_angle_alpha 90.00
_cell_angle_beta 90.00
_cell_angle_gamma 90.00
loop_
_atom_site_label
_atom_site_type_symbol
_atom_site_fract_x
_atom_site_fract_y
_atom_site_fract_z
_atom_site_occupancy
Ti1 Ti 0.000 0.000 0.000 1
Ti2 Ti 0.000 0.500 0.248 1
Ti3 Ti 0.250 0.250 0.251 1
Co1 Co 0.000 0.283 0.000 1
Pd1 Pd 0.185 0.000 0.500 1
```

## Properties
Raw total energy in eV/atom: -7.302
Crystal system: orthorhombic
D(E_F) in states/eV per cell: 31.48